No. 1
Computed, not measured: a geometry-optimized FeNi2Bi2 structure at the PBE level of DFT.

Cell and atoms, written as POSCAR:
```
FeNi2Bi2
1.0
6.823 0.000 0.000
0.000 6.823 0.000
0.000 0.000 3.881
Ni Bi Fe
4 4 2
direct
0.369 0.869 0.000 Ni
0.869 0.631 0.000 Ni
0.631 0.131 0.000 Ni
0.131 0.369 0.000 Ni
0.175 0.675 0.500 Bi
0.675 0.825 0.500 Bi
0.825 0.325 0.500 Bi
0.325 0.175 0.500 Bi
0.000 0.000 0.000 Fe
0.500 0.500 0.000 Fe
```

Output
ΔE_f, eV/atom: 0.322
Polymorph energy (0 for the lowest one), eV per atom: 0.000
Crystal system: tetragonal
Final energy, eV/cell: -52.35
Space group: No. 127


No. 2
Computed, not measured: a geometry-optimized FeNi2Bi2 structure at the PBE level of DFT.

Cell and atoms, written as POSCAR:
```
FeNi2Bi2
1.0
-1.062 -3.176 0.745
3.200 -1.167 -0.414
2.535 -0.866 7.825
Ni Bi Fe
2 2 1
direct
0.750 0.250 0.500 Ni
0.250 0.750 0.500 Ni
0.387 0.387 0.225 Bi
0.613 0.613 0.775 Bi
0.000 0.000 0.000 Fe
```

Output
ΔE_f, eV/atom: 0.435
Polymorph energy (0 for the lowest one), eV per atom: 0.112
Crystal system: tetragonal
Final energy, eV/cell: -25.61
Space group: No. 139


No. 3
Computed, not measured: a geometry-optimized FeNiBiPd2 structure at the PBE level of DFT.

Cell and atoms, written as POSCAR:
```
FeNiBiPd2
1.0
4.708 0.000 0.000
0.000 4.363 0.000
0.000 0.000 4.708
Ni Bi Pd Fe
1 1 2 1
direct
0.000 0.500 0.000 Ni
0.500 0.500 0.500 Bi
0.000 0.000 0.500 Pd
0.500 0.000 0.000 Pd
0.000 0.000 0.000 Fe
```

Output
ΔE_f, eV/atom: 0.528
Crystal system: tetragonal
Final energy, eV/cell: -25.87
Space group: No. 123